DFT (GGA-PBE) results for a geometry-optimized Tl2ZnCu structure.

abc: 7.7310 7.7310 6.3210
angles: 52.30 52.30 90.00
Last column: nearest neighbours and their distance in Å.
Positions (direct):
1 Zn 0.7500 0.2500 0.5000  4 Tl 2.95, 2 Cu 3.17
2 Zn 0.0000 0.0000 0.0000  4 Tl 2.95, 2 Cu 3.17
3 Tl 0.1445 0.6250 0.2500  2 Cu 2.75, 2 Zn 2.95
4 Tl 0.6055 0.1250 0.2500  2 Cu 2.75, 2 Zn 2.95
5 Tl 0.3750 0.3945 0.7500  2 Cu 2.75, 2 Zn 2.95
6 Tl 0.8750 0.8555 0.7500  2 Cu 2.75, 2 Zn 2.95
7 Cu 0.5000 0.5000 0.0000  4 Tl 2.75
8 Cu 0.2500 0.7500 0.5000  4 Tl 2.75

The density of states at the Fermi level is 1.95 states/eV/f.u. Its formation energy is 0.33 eV/atom. For the energy above the lowest structure with this stoichiometry, the calculation gives 194 meV per atom.


DFT (GGA-PBE) results for a geometry-optimized SmTiNi4 structure.

abc: 4.9543 4.9543 4.9543
angles: 60.00 60.00 60.00
Last column: nearest neighbours and their distance in Å.
Positions (direct):
1 Ni 0.6261 0.1218 0.6261  6 Ni 2.46-2.50
2 Ni 0.1218 0.6261 0.6261  6 Ni 2.46-2.50
3 Ni 0.6261 0.6261 0.6261  6 Ni 2.46-2.50
4 Ni 0.6261 0.6261 0.1218  6 Ni 2.46-2.50
5 Sm 0.2500 0.2500 0.2500  12 Ni 2.91, 4 Ti 3.03
6 Ti 0.0000 0.0000 0.0000  12 Ni 2.90, 4 Sm 3.03

The density of states at the Fermi level is 5.67 states/eV/f.u. Its formation energy is -0.27 eV/atom.


DFT (GGA-PBE) results for a geometry-optimized BeReIr structure.

abc: 3.9052 7.1232 2.7522
angles: 101.10 90.00 90.11
Last column: nearest neighbours and their distance in Å.
Positions (direct):
1 Re 0.0842 0.2042 0.8050  6 Be 2.43-2.55, 1 Re 2.63
2 Re 0.0830 0.8285 0.6173  1 Be 2.36, 1 Re 2.63
3 Ir 0.5836 0.9965 0.1997  1 Be 2.33
4 Ir 0.5821 0.6024 0.0037  6 Be 2.35-2.52
5 Be 0.0833 0.4907 0.4484  2 Be 2.25-2.26, 3 Re 2.36-2.43, 2 Ir 2.51
6 Be 0.5843 0.3299 0.3677  2 Be 2.25-2.26, 3 Ir 2.33-2.35

The density of states at the Fermi level is 2.27 states/eV/f.u. Its formation energy is -0.21 eV/atom. For the energy above the lowest structure with this stoichiometry, the calculation gives 105 meV per atom.


DFT (GGA-PBE) results for a geometry-optimized SrTl2Re structure.

abc: 5.1411 5.1411 5.1411
angles: 60.00 60.00 60.00
Last column: nearest neighbours and their distance in Å.
Positions (direct):
1 Re 0.5000 0.5000 0.5000  8 Tl 3.15
2 Sr 0.0000 0.0000 0.0000  8 Tl 3.15
3 Tl 0.7500 0.7500 0.7500  4 Sr 3.15, 4 Re 3.15
4 Tl 0.2500 0.2500 0.2500  4 Re 3.15, 4 Sr 3.15

The density of states at the Fermi level is 4.77 states/eV/f.u. Its formation energy is 0.72 eV/atom. For the energy above the lowest structure with this stoichiometry, the calculation gives 147 meV per atom.


DFT (GGA-PBE) results for a geometry-optimized MnInFe2 structure.

abc: 8.4602 8.4602 8.4602
angles: 19.25 19.25 19.25
Last column: nearest neighbours and their distance in Å.
Positions (direct):
1 Fe 0.4911 0.4911 0.4911  3 Mn 2.47
2 Fe 0.0089 0.0089 0.0089  3 Mn 2.47
3 Mn 0.7500 0.7500 0.7500  6 Fe 2.47
4 In 0.2500 0.2500 0.2500  6 Fe 2.82, 6 In 2.83

The density of states at the Fermi level is 5.07 states/eV/f.u. Its formation energy is 0.47 eV/atom.


DFT (GGA-PBE) results for a geometry-optimized LiEuDy2 structure.

abc: 3.4981 3.4981 12.6193
angles: 82.03 82.03 60.00
Last column: nearest neighbours and their distance in Å.
Positions (direct):
1 Li 0.0000 0.0000 0.0000  2 Dy 3.22, 6 Li 3.50
2 Dy 0.9139 0.9139 0.2583  1 Li 3.22, 6 Dy 3.50
3 Dy 0.0861 0.0861 0.7417  1 Li 3.22, 6 Dy 3.50
4 Eu 0.5000 0.5000 0.5000  6 Eu 3.50, 6 Dy 3.63

The density of states at the Fermi level is 5.43 states/eV/f.u. Its formation energy is 0.28 eV/atom. For the energy above the lowest structure with this stoichiometry, the calculation gives 140 meV per atom.


DFT (GGA-PBE) results for a geometry-optimized Th5CoTe2 structure.

abc: 4.5336 8.1678 12.2856
angles: 90.00 90.00 90.00
Last column: nearest neighbours and their distance in Å.
Positions (direct):
1 Te 0.5000 0.0879 0.3235  9 Th 3.22-3.48
2 Te 0.5000 0.9121 0.6765  9 Th 3.22-3.48
3 Te 0.5000 0.5879 0.1765  9 Th 3.22-3.48
4 Te 0.5000 0.4121 0.8235  9 Th 3.22-3.48
5 Th 0.0000 0.8714 0.1954  1 Co 2.62
6 Th 0.0000 0.0000 0.5000  4 Te 3.22, 4 Th 3.44
7 Th 0.5000 0.3024 0.5631  2 Co 2.89
8 Th 0.5000 0.1976 0.0631  2 Co 2.89
9 Th 0.5000 0.8024 0.9369  2 Co 2.89
10 Th 0.0000 0.6286 0.6954  1 Co 2.62
11 Th 0.0000 0.3714 0.3046  1 Co 2.62
12 Th 0.0000 0.1286 0.8046  1 Co 2.62
13 Th 0.5000 0.6976 0.4369  2 Co 2.89
14 Th 0.0000 0.5000 0.0000  4 Te 3.22, 4 Th 3.44
15 Co 0.0000 0.5000 0.5000  6 Th 2.62-2.89
16 Co 0.0000 0.0000 0.0000  6 Th 2.62-2.89

The density of states at the Fermi level is 8.84 states/eV/f.u. The formation energy from raw total energies is -0.601 eV per atom.


DFT (GGA-PBE) results for a geometry-optimized AcPrTl structure.

abc: 4.0661 5.5389 5.5389
angles: 120.00 90.00 90.00
Last column: nearest neighbours and their distance in Å.
Positions (direct):
1 Pr 0.8895 0.0000 0.0000  3 Tl 3.24
2 Ac 0.3482 0.3333 0.6667  6 Tl 3.61-3.99, 6 Pr 3.70-3.88
3 Tl 0.7624 0.6667 0.3333  3 Pr 3.24, 3 Ac 3.61

The density of states at the Fermi level is 2.45 states/eV/f.u. Its formation energy is -0.16 eV/atom. For the energy above the lowest structure with this stoichiometry, the calculation gives 96 meV per atom.